EuMg2Sb2 meta-GGA SCAN PBEsol geometry; ΔE_f (raw) = -397 kJ/mol of formula units
1.0
-1.796 3.486 2.546
1.301 -3.982 2.077
6.900 2.796 1.039
Eu Sb Mg
1 2 2
direct
0.000 0.000 0.000 Eu
0.667 0.333 0.755 Sb
0.333 0.667 0.245 Sb
0.333 0.667 0.633 Mg
0.667 0.333 0.367 Mg

EuMgSi meta-GGA SCAN PBEsol geometry; ΔE_f (raw) = -142 kJ/mol of formula units
1.0
4.430 0.000 0.000
0.000 7.451 0.000
0.000 0.000 8.314
Eu Si Mg
4 4 4
direct
0.750 0.982 0.818 Eu
0.250 0.018 0.182 Eu
0.750 0.482 0.682 Eu
0.250 0.518 0.318 Eu
0.750 0.726 0.114 Si
0.250 0.774 0.614 Si
0.750 0.226 0.386 Si
0.250 0.274 0.886 Si
0.250 0.147 0.564 Mg
0.750 0.353 0.064 Mg
0.250 0.647 0.936 Mg
0.750 0.853 0.436 Mg

Here is a crystal of EuMgSn relaxed with PBEsol from Alexandria via LeMat-Bulk. Energies are from meta-GGA SCAN.

Cell and atoms, written as POSCAR:
```
EuMgSn
1.0
4.789 0.000 0.000
0.000 7.769 0.000
0.000 0.000 8.680
Eu Mg Sn
4 4 4
direct
0.250 0.512 0.303 Eu
0.250 0.012 0.197 Eu
0.750 0.488 0.697 Eu
0.750 0.988 0.803 Eu
0.250 0.159 0.570 Mg
0.750 0.841 0.430 Mg
0.750 0.341 0.070 Mg
0.250 0.659 0.930 Mg
0.250 0.270 0.895 Sn
0.750 0.730 0.105 Sn
0.250 0.770 0.605 Sn
0.750 0.230 0.395 Sn
```

Here is a crystal of EuMgZn2 relaxed with PBEsol from Alexandria via LeMat-Bulk. Energies are from meta-GGA SCAN.

Cell and atoms, written as POSCAR:
```
EuMgZn2
1.0
-0.293 -0.889 4.778
-4.216 -1.459 1.951
-0.489 -4.573 1.600
Eu Zn Mg
1 2 1
direct
0.500 0.500 0.500 Eu
0.750 0.750 0.750 Zn
0.250 0.250 0.250 Zn
0.000 0.000 0.000 Mg
```

Here is a crystal of Eu2MnP3Pt7 relaxed with PBEsol from Alexandria via LeMat-Bulk. Energies are from meta-GGA SCAN.

Cell and atoms, written as POSCAR:
```
Eu2MnP3Pt7
1.0
-3.594 -0.501 1.759
1.792 -1.735 3.168
2.107 13.088 3.411
Eu P Mn Pt
2 3 1 7
direct
0.335 0.335 0.670 Eu
0.665 0.665 0.330 Eu
0.121 0.121 0.242 P
0.879 0.879 0.758 P
0.750 0.250 0.500 P
0.500 0.500 0.000 Mn
0.571 0.071 0.143 Pt
0.072 0.572 0.145 Pt
0.428 0.928 0.855 Pt
0.929 0.429 0.857 Pt
0.208 0.208 0.415 Pt
0.792 0.792 0.585 Pt
0.000 0.000 0.000 Pt
```

Eu2Mo2O7 meta-GGA SCAN PBEsol geometry; ΔE_f (raw) = -2825 kJ/mol of formula units
1.0
7.358 0.000 0.000
3.679 6.372 0.000
3.679 2.124 6.008
Eu Mo O
4 4 14
direct
0.625 0.625 0.625 Eu
0.625 0.625 0.125 Eu
0.625 0.125 0.625 Eu
0.125 0.625 0.625 Eu
0.125 0.125 0.125 Mo
0.125 0.125 0.625 Mo
0.125 0.625 0.125 Mo
0.625 0.125 0.125 Mo
0.750 0.750 0.750 O
0.500 0.500 0.500 O
0.805 0.805 0.195 O
0.195 0.195 0.805 O
0.805 0.195 0.805 O
0.195 0.805 0.195 O
0.805 0.195 0.195 O
0.195 0.805 0.805 O
0.445 0.445 0.055 O
0.055 0.055 0.445 O
0.445 0.055 0.445 O
0.055 0.445 0.055 O
0.445 0.055 0.055 O
0.055 0.445 0.445 O

EuNbNO2 meta-GGA SCAN PBEsol geometry; ΔE_f (raw) = -1145 kJ/mol of formula units
1.0
4.011 0.000 0.000
0.000 4.011 0.000
0.000 0.000 4.088
Eu Nb O N
1 1 2 1
direct
0.000 0.000 0.000 Eu
0.500 0.500 0.500 Nb
0.500 0.000 0.500 O
0.000 0.500 0.500 O
0.500 0.500 0.000 N

EuTaNO2 meta-GGA SCAN PBEsol geometry; ΔE_f (raw) = -1241 kJ/mol of formula units
1.0
-1.601 -3.162 1.815
1.970 -2.418 -2.475
3.143 -0.099 2.599
Eu N O Ta
1 1 2 1
direct
0.000 0.000 0.000 Eu
0.500 0.500 0.000 N
0.500 0.000 0.500 O
0.000 0.500 0.500 O
0.500 0.500 0.500 Ta

no.,volume (Å³/cell),density of states at the Fermi level (states/eV per cell),total DFT energy (no corrections) (eV/atom)
1,142,9.96,-28.459
2,274,28.47,-23.390
3,323,34.04,-32.198
4,82,4.66,-21.703
5,218,18.72,-50.898
6,282,19.50,-22.736
7,66,8.35,-24.092
8,65,8.80,-30.983